Dy6Si2HgTe3: optimized geometry, PBE.

Unit cell a=9.6262 b=9.6262 c=8.7075 alpha=104.88 beta=104.88 gamma=25.35
Closest atoms and distances in Å follow each position.
Fractional coordinates of all 12 atoms:
Dy: 0.0090 0.0090 0.2556  1 Si 2.85, 3 Te 3.03-3.14, 2 Hg 3.04
Dy: 0.3255 0.3255 0.4361  3 Si 2.89-2.90, 3 Te 3.18-3.19
Dy: 0.3313 0.3313 0.8924  2 Si 2.89, 3 Te 3.04-3.18, 1 Hg 3.06
Dy: 0.6687 0.6687 0.1076  2 Si 2.89, 3 Te 3.04-3.18, 1 Hg 3.06
Dy: 0.6745 0.6745 0.5639  3 Si 2.89-2.90, 3 Te 3.18-3.19
Dy: 0.9910 0.9910 0.7444  1 Si 2.85, 3 Te 3.03-3.14, 2 Hg 3.04
Si: 0.1664 0.1664 0.3319  6 Dy 2.85-2.90
Si: 0.8336 0.8336 0.6681  6 Dy 2.85-2.90
Hg: 0.5000 0.5000 0.0000  6 Dy 3.04-3.06
Te: 0.1641 0.1641 0.8316  6 Dy 3.04-3.19
Te: 0.5000 0.5000 0.5000  6 Dy 3.03-3.18
Te: 0.8359 0.8359 0.1684  6 Dy 3.04-3.19

Calculated values
The total moment comes out at 0.00 μB per atom. For the uncorrected formation energy, the calculation gives -1.001 eV/atom.

Mn5Fe2Co2: optimized geometry, PBE.

Unit cell a=7.3664 b=7.3664 c=7.3664 alpha=112.88 beta=77.97 gamma=145.05
Closest atoms and distances in Å follow each position.
Fractional coordinates of all 18 atoms:
Mn: 0.1059 0.0000 0.6059  6 Mn 2.26-2.52, 2 Co 2.45, 2 Fe 2.52
Mn: 0.1059 0.5000 0.1059  6 Mn 2.26-2.52, 2 Co 2.45, 2 Fe 2.52
Mn: 0.3034 0.0000 0.8034  4 Mn 2.25-2.44, 2 Fe 2.40, 2 Co 2.41
Mn: 0.3034 0.5000 0.3034  4 Mn 2.25-2.44, 2 Fe 2.40, 2 Co 2.41
Mn: 0.5000 0.0000 0.0000  2 Mn 2.25, 2 Fe 2.44
Mn: 0.5000 0.5000 0.5000  2 Mn 2.25, 2 Fe 2.44
Mn: 0.6966 0.0000 0.1966  4 Mn 2.25-2.44, 2 Fe 2.40, 2 Co 2.41
Mn: 0.6966 0.5000 0.6966  4 Mn 2.25-2.44, 2 Fe 2.40, 2 Co 2.41
Mn: 0.8941 0.0000 0.3941  6 Mn 2.26-2.52, 2 Co 2.45, 2 Fe 2.52
Mn: 0.8941 0.5000 0.8941  6 Mn 2.26-2.52, 2 Co 2.45, 2 Fe 2.52
Fe: 0.0000 0.0000 0.0000  4 Mn 2.40, 2 Co 2.52
Fe: 0.1944 0.9444 0.2500  6 Mn 2.44-2.52, 4 Co 2.55-2.56
Fe: 0.5000 0.0000 0.5000  4 Mn 2.40, 2 Co 2.52
Fe: 0.8056 0.0556 0.7500  6 Mn 2.44-2.52, 4 Co 2.55-2.56
Co: 0.1965 0.5582 0.6384  6 Mn 2.41-2.55, 3 Fe 2.52-2.56, 1 Co 2.56
Co: 0.4198 0.5582 0.8616  6 Mn 2.41-2.55, 3 Fe 2.52-2.56, 1 Co 2.56
Co: 0.5802 0.4418 0.1384  6 Mn 2.41-2.55, 3 Fe 2.52-2.56, 1 Co 2.56
Co: 0.8035 0.4418 0.3616  6 Mn 2.41-2.55, 3 Fe 2.52-2.56, 1 Co 2.56

Calculated values
For the formation enthalpy at 0 K, the calculation gives 0.27 eV/atom. The total moment comes out at 0.43 μB per atom.

YHf2Zn9: optimized geometry, PBE.

Unit cell a=8.8948 b=8.8948 c=8.8948 alpha=34.48 beta=34.48 gamma=34.48
Closest atoms and distances in Å follow each position.
Fractional coordinates of all 12 atoms:
Y: 0.0000 0.0000 0.0000  18 Zn 3.04-3.40
Hf: 0.1441 0.1441 0.1441  12 Zn 2.99-3.10, 3 Hf 3.25
Hf: 0.8559 0.8559 0.8559  12 Zn 2.99-3.10, 3 Hf 3.25
Zn: 0.0777 0.5898 0.5898  7 Zn 2.56-2.70
Zn: 0.3354 0.3354 0.3354  6 Zn 2.61-2.66
Zn: 0.4102 0.4102 0.9223  7 Zn 2.56-2.70
Zn: 0.4102 0.9223 0.4102  7 Zn 2.56-2.70
Zn: 0.5000 0.5000 0.5000  6 Zn 2.56
Zn: 0.5898 0.0777 0.5898  7 Zn 2.56-2.70
Zn: 0.5898 0.5898 0.0777  7 Zn 2.56-2.70
Zn: 0.6646 0.6646 0.6646  6 Zn 2.61-2.66
Zn: 0.9223 0.4102 0.4102  7 Zn 2.56-2.70

Calculated values
For the formation enthalpy at 0 K, the calculation gives -0.25 eV/atom. The total moment comes out at 0.13 μB per atom.

| no. | E_tot (eV/atom) |
| --- | --- |
| 1 | -5.016 |
| 2 | -8.284 |
| 3 | -3.407 |